*w*
An optimized crystal structure of Ba2FeCo. Source: Alexandria via LeMat-Bulk, functional GGA-PBE.

Calculated values
Its space group is No. 123. For the density, the calculation gives 5.60 g/cm³. The value obtained for the density of states at the Fermi level is 8.3 states/eV/cell.

extended XYZ file:
```
4
Lattice="3.830 0.000 0.000 0.000 3.830 0.000 0.000 0.000 7.873" Properties=species:S:1:pos:R:3 pbc="T T T"
Ba 0.000 0.000 1.872
Ba 0.000 0.000 6.001
Fe 1.915 1.915 3.937
Co 1.915 1.915 0.000
```


*x*
An optimized crystal structure of Ba2FeCo. Source: Alexandria via LeMat-Bulk, functional GGA-PBE.

Calculated values
Its space group is No. 122. For the density, the calculation gives 4.24 g/cm³. The value obtained for the density of states at the Fermi level is 9.5 states/eV/cell.

extended XYZ file:
```
8
Lattice="-5.845 5.845 2.232 5.845 -5.845 2.232 5.845 5.845 -2.232" Properties=species:S:1:pos:R:3 pbc="T T T"
Ba -0.763 2.923 0.558
Ba 2.923 5.083 1.674
Ba 0.763 8.768 0.558
Ba -2.923 6.608 1.674
Fe 5.845 0.000 1.116
Fe 0.000 0.000 2.232
Co 0.000 0.000 0.000
Co 0.000 5.845 1.116
```


Most stable pick: *x*. Distance to second place: 0.245 eV/atom.


*w*
An optimized crystal structure of Ba2FeCoNi. Source: Alexandria via LeMat-Bulk, functional GGA-PBE.

Calculated values
Its space group is No. 123. For the density, the calculation gives 4.96 g/cm³. The value obtained for the density of states at the Fermi level is 6.6 states/eV/cell.

extended XYZ file:
```
5
Lattice="5.852 0.000 0.000 0.000 5.852 0.000 0.000 0.000 4.378" Properties=species:S:1:pos:R:3 pbc="T T T"
Ba 0.000 2.926 0.000
Ba 2.926 0.000 0.000
Fe 0.000 0.000 2.189
Co 0.000 0.000 0.000
Ni 2.926 2.926 2.189
```


*x*
An optimized crystal structure of Ba2FeCoNi. Source: Alexandria via LeMat-Bulk, functional GGA-PBE.

Calculated values
Its space group is No. 123. For the density, the calculation gives 5.21 g/cm³. The value obtained for the density of states at the Fermi level is 6.8 states/eV/cell.

extended XYZ file:
```
5
Lattice="5.782 0.000 0.000 0.000 5.782 0.000 0.000 0.000 4.277" Properties=species:S:1:pos:R:3 pbc="T T T"
Ba 0.000 2.891 0.000
Ba 2.891 0.000 0.000
Fe 0.000 0.000 0.000
Co 2.891 2.891 2.138
Ni 0.000 0.000 2.138
```


Most stable pick: *w*. Distance to second place: 0.202 eV/atom.


*w*
An optimized crystal structure of Ba2CoH. Source: Alexandria via LeMat-Bulk, functional GGA-PBE.

Calculated values
Its space group is No. 122. For the density, the calculation gives 4.33 g/cm³. The value obtained for the density of states at the Fermi level is 0.0 states/eV/cell.

extended XYZ file:
```
8
Lattice="-3.054 3.054 6.874 3.054 -3.054 6.874 3.054 3.054 -6.874" Properties=species:S:1:pos:R:3 pbc="T T T"
Ba 4.581 1.395 -1.718
Ba 1.395 1.527 1.718
Ba -1.527 1.659 5.155
Ba 1.659 1.527 8.592
Co 3.054 0.000 3.437
Co 0.000 0.000 6.874
H 0.000 0.000 0.000
H 0.000 3.054 3.437
```


*x*
An optimized crystal structure of Ba2CoH. Source: Alexandria via LeMat-Bulk, functional GGA-PBE.

Calculated values
Its space group is No. 225. For the density, the calculation gives 5.47 g/cm³. The value obtained for the density of states at the Fermi level is 3.1 states/eV/cell.

extended XYZ file:
```
4
Lattice="0.000 3.703 3.703 3.703 0.000 3.703 3.703 3.703 0.000" Properties=species:S:1:pos:R:3 pbc="T T T"
Ba 1.852 1.852 1.852
Ba 5.555 5.555 5.555
Co 0.000 0.000 0.000
H 3.703 3.703 3.703
```


Most stable pick: *w*. Distance to second place: 0.016 eV/atom.


*w*
An optimized crystal structure of Ba2CoH4. Source: Alexandria via LeMat-Bulk, functional GGA-PBE.

Calculated values
Its space group is No. 139. For the density, the calculation gives 4.72 g/cm³. The value obtained for the density of states at the Fermi level is 1.7 states/eV/cell.

extended XYZ file:
```
7
Lattice="-2.746 2.746 3.938 2.746 -2.746 3.938 2.746 2.746 -3.938" Properties=species:S:1:pos:R:3 pbc="T T T"
Ba 2.746 0.000 1.969
Ba 0.000 2.746 1.969
Co 0.000 0.000 0.000
H 1.129 1.129 0.000
H 1.617 -1.617 3.938
H -1.617 1.617 3.938
H 1.617 1.617 3.938
```


*x*
An optimized crystal structure of Ba2CoH4. Source: Alexandria via LeMat-Bulk, functional GGA-PBE.

Calculated values
Its space group is No. 139. For the density, the calculation gives 5.32 g/cm³. The value obtained for the density of states at the Fermi level is 1.9 states/eV/cell.

extended XYZ file:
```
7
Lattice="-1.819 1.819 7.964 1.819 -1.819 7.964 1.819 1.819 -7.964" Properties=species:S:1:pos:R:3 pbc="T T T"
Ba 0.000 0.000 2.117
Ba 0.000 0.000 13.811
Co 0.000 0.000 7.964
H 1.819 0.000 0.000
H 0.000 0.000 4.902
H 0.000 1.819 0.000
H 0.000 0.000 11.026
```


Most stable pick: *w*. Distance to second place: 0.154 eV/atom.